SrAl3: single point on PBEsol structure, meta-GGA SCAN.

Cell lengths 5.518, 5.518, 3.168 Å; angles 90.00, 90.00, 112.18 degrees
Fractional positions:
Sr 0.000 0.000 0.000
Al 0.000 0.500 0.500
Al 0.500 0.000 0.500
Al 0.500 0.500 0.000

Results
- Energy of formation: 0.8 eV per formula unit